#one
Below is an optimized crystal structure of KSr3Pd, with properties calculated at the PBE level.

Magnetization in μB per atom: 0.000

a b c (Å): 5.3338 5.3338 20.2459
angles (deg): 90.00 90.00 120.00
Closest atoms and distances in Å follow each position.
Sites, in units of the cell vectors:
K: 0.3333 0.6667 0.2500  3 Sr 3.08
K: 0.6667 0.3333 0.7500  3 Sr 3.08
Sr: 0.0000 0.0000 0.2500  3 K 3.08
Sr: 0.0000 0.0000 0.7500  3 K 3.08
Sr: 0.3333 0.6667 0.0614  3 Pd 3.32
Sr: 0.3333 0.6667 0.4386  3 Pd 3.32
Sr: 0.6667 0.3333 0.5614  3 Pd 3.32
Sr: 0.6667 0.3333 0.9386  3 Pd 3.32
Pd: 0.0000 0.0000 0.0000  6 Sr 3.32
Pd: 0.0000 0.0000 0.5000  6 Sr 3.32


#two
Below is an optimized crystal structure of KSr3Pd, with properties calculated at the PBE level.

Magnetization in μB per atom: 0.000

a b c (Å): 11.6330 11.6330 11.6330
angles (deg): 60.00 60.00 60.00
Closest atoms and distances in Å follow each position.
Sites, in units of the cell vectors:
K: 0.0000 0.0000 0.0000  6 Sr 4.31
K: 0.0000 0.0000 0.5000  6 Sr 4.31
K: 0.0000 0.5000 0.0000  6 Sr 4.31
K: 0.5000 0.0000 0.0000  6 Sr 4.31
Sr: 0.1933 0.1933 0.5567  2 Pd 3.05
Sr: 0.1933 0.5567 0.1933  2 Pd 3.05
Sr: 0.1933 0.5567 0.5567  2 Pd 3.05
Sr: 0.4433 0.4433 0.8067  2 Pd 3.05
Sr: 0.4433 0.8067 0.4433  2 Pd 3.05
Sr: 0.4433 0.8067 0.8067  2 Pd 3.05
Sr: 0.5567 0.1933 0.1933  2 Pd 3.05
Sr: 0.5567 0.1933 0.5567  2 Pd 3.05
Sr: 0.5567 0.5567 0.1933  2 Pd 3.05
Sr: 0.8067 0.4433 0.4433  2 Pd 3.05
Sr: 0.8067 0.4433 0.8067  2 Pd 3.05
Sr: 0.8067 0.8067 0.4433  2 Pd 3.05
Pd: 0.0000 0.5000 0.5000  6 Sr 3.05
Pd: 0.5000 0.0000 0.5000  6 Sr 3.05
Pd: 0.5000 0.5000 0.0000  6 Sr 3.05
Pd: 0.5000 0.5000 0.5000  6 Sr 3.05


The energy of each structure relative to the most stable one, in meV per atom, is as follows: #one 613; #two 0.


#one
Below is an optimized crystal structure of KSr3Pd, with properties calculated at the PBE level.

Magnetization in μB per atom: 0.000

a b c (Å): 6.6982 6.6982 6.6982
angles (deg): 90.00 90.00 90.00
Closest atoms and distances in Å follow each position.
Sites, in units of the cell vectors:
K: 0.0000 0.0000 0.0000  6 Sr 3.35
Sr: 0.0000 0.0000 0.5000  2 K 3.35
Sr: 0.0000 0.5000 0.0000  2 K 3.35
Sr: 0.5000 0.0000 0.0000  2 K 3.35
Pd: 0.5000 0.5000 0.5000  12 Sr 4.74


#two
Below is an optimized crystal structure of KSr3Pd, with properties calculated at the PBE level.

Magnetization in μB per atom: 0.000

a b c (Å): 7.7149 7.7149 12.7167
angles (deg): 115.18 115.18 46.76
Closest atoms and distances in Å follow each position.
Sites, in units of the cell vectors:
K: 0.1273 0.1273 0.4360  3 K 4.34-4.59, 9 Sr 4.38-4.61
K: 0.8727 0.8727 0.5640  3 K 4.34-4.59, 9 Sr 4.38-4.61
Sr: 0.1348 0.1348 0.9423  3 Pd 3.07-3.09
Sr: 0.3780 0.3780 0.3017  1 Pd 2.97
Sr: 0.3809 0.3809 0.8295  2 Pd 3.00-3.06
Sr: 0.6191 0.6191 0.1705  2 Pd 3.00-3.06
Sr: 0.6220 0.6220 0.6983  1 Pd 2.97
Sr: 0.8652 0.8652 0.0577  3 Pd 3.07-3.09
Pd: 0.3809 0.3809 0.0700  6 Sr 2.97-3.09
Pd: 0.6191 0.6191 0.9300  6 Sr 2.97-3.09


#three
Below is an optimized crystal structure of KSr3Pd, with properties calculated at the PBE level.

Magnetization in μB per atom: 0.000

a b c (Å): 6.1640 6.1640 6.1640
angles (deg): 90.00 90.00 90.00
Closest atoms and distances in Å follow each position.
Sites, in units of the cell vectors:
K: 0.0000 0.0000 0.0000  12 Sr 4.36
Sr: 0.0000 0.5000 0.5000  2 Pd 3.08
Sr: 0.5000 0.0000 0.5000  2 Pd 3.08
Sr: 0.5000 0.5000 0.0000  2 Pd 3.08
Pd: 0.5000 0.5000 0.5000  6 Sr 3.08


The energy of each structure relative to the most stable one, in meV per atom, is as follows: #one 1304; #two 16; #three 0.


#one
Below is an optimized crystal structure of KSr3Pd, with properties calculated at the PBE level.

Magnetization in μB per atom: 0.000

a b c (Å): 8.0030 10.1227 11.9642
angles (deg): 90.00 90.00 90.00
Closest atoms and distances in Å follow each position.
Sites, in units of the cell vectors:
K: 0.0000 0.0000 0.0000  6 Sr 4.11-4.34, 2 Pd 4.36
K: 0.0000 0.5000 0.0000  6 Sr 4.11-4.34, 2 Pd 4.36
K: 0.5000 0.0000 0.5000  6 Sr 4.11-4.34, 2 Pd 4.36
K: 0.5000 0.5000 0.5000  6 Sr 4.11-4.34, 2 Pd 4.36
Sr: 0.0395 0.0638 0.3576  2 Pd 3.18-3.33
Sr: 0.0395 0.4362 0.3576  2 Pd 3.18-3.33
Sr: 0.2318 0.2500 0.7162  2 Pd 3.02-3.13
Sr: 0.2682 0.7500 0.2162  2 Pd 3.02-3.13
Sr: 0.4605 0.5638 0.8576  2 Pd 3.18-3.33
Sr: 0.4605 0.9362 0.8576  2 Pd 3.18-3.33
Sr: 0.5395 0.0638 0.1424  2 Pd 3.18-3.33
Sr: 0.5395 0.4362 0.1424  2 Pd 3.18-3.33
Sr: 0.7318 0.2500 0.7838  2 Pd 3.02-3.13
Sr: 0.7682 0.7500 0.2838  2 Pd 3.02-3.13
Sr: 0.9605 0.5638 0.6424  2 Pd 3.18-3.33
Sr: 0.9605 0.9362 0.6424  2 Pd 3.18-3.33
Pd: 0.0652 0.7500 0.4401  6 Sr 3.02-3.33
Pd: 0.4348 0.2500 0.9401  6 Sr 3.02-3.33
Pd: 0.5652 0.7500 0.0599  6 Sr 3.02-3.33
Pd: 0.9348 0.2500 0.5599  6 Sr 3.02-3.33


#two
Below is an optimized crystal structure of KSr3Pd, with properties calculated at the PBE level.

Magnetization in μB per atom: 0.000

a b c (Å): 4.4742 6.1098 8.8924
angles (deg): 90.00 90.15 90.08
Closest atoms and distances in Å follow each position.
Sites, in units of the cell vectors:
K: 0.0000 0.0000 0.0000  10 Sr 4.45-4.49, 2 K 4.47
Sr: 0.0000 0.0000 0.5000  2 Pd 3.05
Sr: 0.4991 0.5000 0.2696  2 Pd 3.03
Sr: 0.5009 0.5000 0.7304  2 Pd 3.03
Pd: 0.0000 0.5000 0.5000  6 Sr 3.03-3.05


The energy of each structure relative to the most stable one, in meV per atom, is as follows: #one 177; #two 0.